Record 1
Computed, not measured: crystalline HfTlW3 at its relaxed geometry at the GGA-PBE level of DFT.

Output
formation enthalpy at 0 K = 2.813 eV/atom
space group = No. 221
energy relative to the lowest polymorph listed for this composition = 372 meV per atom

a b c (Å): 4.923 4.923 4.923
angles (deg): 90.00 90.00 90.00
Atoms (fractional coordinates):
Tl1 0.000 0.000 0.000
Hf1 0.500 0.500 0.500
W1 0.000 0.500 0.000
W2 0.000 0.000 0.500
W3 0.500 0.000 0.000

Record 2
Computed, not measured: crystalline SrTi2TcMo at its relaxed geometry at the GGA-PBE level of DFT.

Output
formation enthalpy at 0 K = 2.493 eV/atom
space group = No. 123

a b c (Å): 4.569 4.703 4.569
angles (deg): 90.00 90.00 90.00
Atoms (fractional coordinates):
Sr1 0.000 0.000 0.000
Mo1 0.000 0.500 0.000
Tc1 0.500 0.500 0.500
Ti1 0.000 0.000 0.500
Ti2 0.500 0.000 0.000

Record 3
Computed, not measured: crystalline VCoS2Cl at its relaxed geometry at the GGA-PBE level of DFT.

Output
formation energy (no corrections) = 0.24 eV/atom
space group = No. 123
energy relative to the lowest polymorph listed for this composition = 0 meV per atom

a b c (Å): 4.576 4.576 4.780
angles (deg): 90.00 90.00 90.00
Site moments in Bohr magnetons follow the coordinates.
Atoms (fractional coordinates):
S1 0.000 0.500 0.000  -0.04
S2 0.500 0.000 0.000  -0.04
Cl1 0.000 0.000 0.500  0.04
Co1 0.500 0.500 0.500  2.30
V1 0.000 0.000 0.000  1.31

Record 4
Computed, not measured: crystalline Ca2MgZn16 at its relaxed geometry at the GGA-PBE level of DFT.

Output
formation enthalpy at 0 K = -0.183 eV/atom
space group = No. 160

a b c (Å): 6.884 6.884 6.884
angles (deg): 83.27 83.27 83.27
Atoms (fractional coordinates):
Ca1 0.657 0.657 0.657
Ca2 0.342 0.342 0.342
Mg1 0.906 0.906 0.906
Zn1 0.700 0.999 0.298
Zn2 0.999 0.298 0.700
Zn3 0.298 0.700 0.999
Zn4 0.999 0.700 0.298
Zn5 0.700 0.298 0.999
Zn6 0.298 0.999 0.700
Zn7 0.350 0.837 0.350
Zn8 0.837 0.350 0.350
Zn9 0.350 0.350 0.837
Zn10 0.648 0.158 0.648
Zn11 0.158 0.648 0.648
Zn12 0.648 0.648 0.158
Zn13 0.001 0.496 0.001
Zn14 0.496 0.001 0.001
Zn15 0.001 0.001 0.496
Zn16 0.114 0.114 0.114

Record 5
Computed, not measured: crystalline Ti2CoH2 at its relaxed geometry at the GGA-PBE level of DFT.

Output
space group = No. 139
energy relative to the lowest polymorph listed for this composition = 0 meV per atom

a b c (Å): 2.927 2.927 5.924
angles (deg): 75.70 75.70 90.00
Atoms (fractional coordinates):
H1 0.750 0.250 0.500
H2 0.250 0.750 0.500
Co1 0.000 0.000 0.000
Ti1 0.362 0.362 0.276
Ti2 0.638 0.638 0.724

Record 6
Computed, not measured: crystalline Sm2Al4Pt3Au at its relaxed geometry at the GGA-PBE level of DFT.

Output
formation enthalpy at 0 K = -1.026 eV/atom
space group = No. 115

a b c (Å): 4.285 4.285 10.512
angles (deg): 90.00 90.00 90.00
Atoms (fractional coordinates):
Sm1 0.500 0.000 0.244
Sm2 0.000 0.500 0.756
Al1 0.500 0.500 0.000
Al2 0.000 0.000 0.000
Al3 0.500 0.000 0.634
Al4 0.000 0.500 0.366
Pt1 0.000 0.000 0.500
Pt2 0.500 0.000 0.869
Pt3 0.000 0.500 0.131
Au1 0.500 0.500 0.500

Record 7
Computed, not measured: crystalline Ho3AlAu2 at its relaxed geometry at the GGA-PBE level of DFT.

Output
formation enthalpy at 0 K = -0.714 eV/atom
space group = No. 123

a b c (Å): 3.562 3.562 10.921
angles (deg): 90.00 90.00 90.00
Atoms (fractional coordinates):
Ho1 0.000 0.000 0.000
Ho2 0.000 0.000 0.669
Ho3 0.000 0.000 0.331
Al1 0.500 0.500 0.500
Au1 0.500 0.500 0.829
Au2 0.500 0.500 0.171

Record 8
Computed, not measured: crystalline BaBe4Cr at its relaxed geometry at the GGA-PBE level of DFT.

Output
formation enthalpy at 0 K = 0.654 eV/atom
space group = No. 216

a b c (Å): 5.032 5.032 5.032
angles (deg): 60.00 60.00 60.00
Site moments in Bohr magnetons follow the coordinates.
Atoms (fractional coordinates):
Ba1 0.000 0.000 0.000  0.07
Be1 0.845 0.385 0.385  -0.02
Be2 0.385 0.385 0.845  -0.02
Be3 0.385 0.845 0.385  -0.02
Be4 0.385 0.385 0.385  -0.02
Cr1 0.750 0.750 0.750  3.42